Entry A
Compound: CrCu2Re
Source: Alexandria
Functional: PBE-GGA
Structure: relaxed

**Magnetization**: 0.0000 μB per atom
**Density of states at the Fermi level**: 3.01 states/eV/f.u.
**SG**: P4mm

Unit cell a=2.563 b=2.563 c=7.788 alpha=90.00 beta=90.00 gamma=90.00
Fractional coordinates of all 4 atoms:
Cu 0.000 0.000 0.001
Cr 0.500 0.500 0.765
Re 0.000 0.000 0.496
Cu 0.500 0.500 0.237

---

Entry B
Compound: CrCu2Re
Source: Alexandria
Functional: PBE-GGA
Structure: relaxed

**Magnetization**: 0.2065 μB per atom
**Density of states at the Fermi level**: 2.64 states/eV/f.u.
**SG**: I-4m2

Unit cell a=4.515 b=4.515 c=4.515 alpha=131.25 beta=131.25 gamma=71.42
Fractional coordinates of all 4 atoms:
Cu 0.000 0.000 0.000
Cr 0.750 0.250 0.500
Re 0.500 0.500 0.000
Cu 0.250 0.750 0.500

---

Entry C
Compound: CrCu2Re
Source: Alexandria
Functional: PBE-GGA
Structure: relaxed

**Magnetization**: 0.0000 μB per atom
**Density of states at the Fermi level**: 2.81 states/eV/f.u.
**SG**: Cmm2

Unit cell a=2.566 b=2.566 c=8.298 alpha=90.00 beta=90.00 gamma=107.86
Fractional coordinates of all 4 atoms:
Cu 0.500 0.500 0.241
Cu 0.000 0.000 0.999
Cr 0.500 0.500 0.754
Re 0.000 0.000 0.506

---

Stability summary - winner: entry C; margin: 63 meV/atom.

---

Entry A
Compound: CrCu2Re
Source: Alexandria
Functional: PBE-GGA
Structure: relaxed

**Magnetization**: 0.0000 μB per atom
**Density of states at the Fermi level**: 2.80 states/eV/f.u.
**SG**: I-42d

Unit cell a=3.441 b=3.441 c=9.567 alpha=79.64 beta=79.64 gamma=90.00
Fractional coordinates of all 8 atoms:
Cu 0.623 0.125 0.250
Cr 0.250 0.750 0.500
Cu 0.375 0.377 0.750
Re 0.750 0.250 0.500
Re 0.000 0.000 0.000
Cr 0.500 0.500 0.000
Cu 0.127 0.625 0.250
Cu 0.875 0.873 0.750

---

Entry B
Compound: CrCu2Re
Source: Alexandria
Functional: PBE-GGA
Structure: relaxed

**Magnetization**: 0.0000 μB per atom
**Density of states at the Fermi level**: 2.84 states/eV/f.u.
**SG**: Pm

Unit cell a=4.124 b=2.535 c=4.947 alpha=82.92 beta=90.00 gamma=90.00
Fractional coordinates of all 4 atoms:
Cu 0.000 0.144 0.002
Re 0.000 0.525 0.501
Cr 0.500 0.735 0.751
Cu 0.500 0.096 0.246

---

Entry C
Compound: CrCu2Re
Source: Alexandria
Functional: PBE-GGA
Structure: relaxed

**Magnetization**: 0.0000 μB per atom
**Density of states at the Fermi level**: 1.75 states/eV/f.u.
**SG**: P4/mmm

Unit cell a=3.512 b=3.507 c=4.095 alpha=90.00 beta=90.00 gamma=90.00
Fractional coordinates of all 4 atoms:
Cr 0.000 0.500 0.500
Re 0.500 0.000 0.500
Cu 0.500 0.500 0.000
Cu 0.000 0.000 0.000

---

Stability summary - winner: entry B; margin: 34 meV/atom.

---

Entry A
Compound: CrCu2Re
Source: Alexandria
Functional: PBE-GGA
Structure: relaxed

**Magnetization**: 0.1779 μB per atom
**Density of states at the Fermi level**: 3.37 states/eV/f.u.
**SG**: C2/m

Unit cell a=4.696 b=4.696 c=4.407 alpha=80.16 beta=80.16 gamma=32.55
Fractional coordinates of all 4 atoms:
Re 0.750 0.750 0.750
Cr 0.250 0.250 0.250
Cu 0.999 0.999 0.003
Cu 0.501 0.501 0.497

---

Entry B
Compound: CrCu2Re
Source: Alexandria
Functional: PBE-GGA
Structure: relaxed

**Magnetization**: 0.0000 μB per atom
**Density of states at the Fermi level**: 3.79 states/eV/f.u.
**SG**: R3m

Unit cell a=8.806 b=8.806 c=8.806 alpha=17.21 beta=17.21 gamma=17.21
Fractional coordinates of all 4 atoms:
Re 0.499 0.499 0.499
Cu 0.253 0.253 0.253
Cr 0.748 0.748 0.748
Cu 0.000 0.000 0.000

---

Entry C
Compound: CrCu2Re
Source: Alexandria
Functional: PBE-GGA
Structure: relaxed

**Magnetization**: 0.1354 μB per atom
**Density of states at the Fermi level**: 4.00 states/eV/f.u.
**SG**: P4mm

Unit cell a=3.045 b=3.045 c=5.538 alpha=90.00 beta=90.00 gamma=90.00
Fractional coordinates of all 4 atoms:
Cr 0.500 0.500 0.742
Re 0.000 0.000 0.516
Cu 0.000 0.000 0.011
Cu 0.500 0.500 0.230

---

Stability summary - winner: entry C; margin: 23 meV/atom.

---

Entry A
Compound: CrCu2Re
Source: Alexandria
Functional: PBE-GGA
Structure: relaxed

**Magnetization**: 0.7374 μB per atom
**Density of states at the Fermi level**: 2.89 states/eV/f.u.
**SG**: P4/mmm

Unit cell a=4.356 b=4.356 c=2.820 alpha=90.00 beta=90.00 gamma=90.00
Fractional coordinates of all 4 atoms:
Cu 0.000 0.000 0.000
Re 0.500 0.000 0.500
Cu 0.500 0.500 0.000
Cr 0.000 0.500 0.500

---

Entry B
Compound: CrCu2Re
Source: Alexandria
Functional: PBE-GGA
Structure: relaxed

**Magnetization**: 0.0001 μB per atom
**Density of states at the Fermi level**: 3.02 states/eV/f.u.
**SG**: Cm

Unit cell a=4.502 b=4.502 c=4.749 alpha=84.25 beta=84.25 gamma=32.43
Fractional coordinates of all 4 atoms:
Cu 0.001 0.001 0.986
Cu 0.749 0.749 0.768
Re 0.496 0.496 0.487
Cr 0.255 0.255 0.259

---

Entry C
Compound: CrCu2Re
Source: Alexandria
Functional: PBE-GGA
Structure: relaxed

**Magnetization**: 0.0000 μB per atom
**Density of states at the Fermi level**: 1.21 states/eV/f.u.
**SG**: P2/m

Unit cell a=4.069 b=2.531 c=5.586 alpha=62.23 beta=90.00 gamma=90.00
Fractional coordinates of all 4 atoms:
Cu 0.000 0.005 0.997
Cu 0.000 0.495 0.503
Cr 0.500 0.750 0.750
Re 0.500 0.250 0.250

---

Stability summary - winner: entry B; margin: 17 meV/atom.

---

Entry A
Compound: CrCu2Re
Source: Alexandria
Functional: PBE-GGA
Structure: relaxed

**Magnetization**: 0.4562 μB per atom
**Density of states at the Fermi level**: 3.38 states/eV/f.u.
**SG**: P4/mmm

Unit cell a=3.219 b=3.219 c=5.062 alpha=90.00 beta=90.00 gamma=90.00
Fractional coordinates of all 4 atoms:
Cr 0.500 0.500 0.750
Cu 0.000 0.000 0.996
Re 0.500 0.500 0.250
Cu 0.000 0.000 0.504

---

Entry B
Compound: CrCu2Re
Source: Alexandria
Functional: PBE-GGA
Structure: relaxed

**Magnetization**: 0.0000 μB per atom
**Density of states at the Fermi level**: 1.60 states/eV/f.u.
**SG**: C2/m

Unit cell a=4.765 b=4.765 c=2.524 alpha=90.21 beta=90.21 gamma=117.34
Fractional coordinates of all 4 atoms:
Re 0.500 0.000 0.500
Cr 0.000 0.500 0.500
Cu 0.500 0.500 0.000
Cu 0.000 0.000 0.000

---

Entry C
Compound: CrCu2Re
Source: Alexandria
Functional: PBE-GGA
Structure: relaxed

**Magnetization**: 0.1721 μB per atom
**Density of states at the Fermi level**: 5.45 states/eV/f.u.
**SG**: R-3m

Unit cell a=8.874 b=8.874 c=8.874 alpha=17.02 beta=17.02 gamma=17.02
Fractional coordinates of all 4 atoms:
Cr 0.750 0.750 0.750
Re 0.250 0.250 0.250
Cu 0.002 0.002 0.002
Cu 0.498 0.498 0.498

---

Stability summary - winner: entry B; margin: 129 meV/atom.

---

Entry A
Compound: Cr2CuRe
Source: Alexandria
Functional: PBE-GGA
Structure: relaxed

**Magnetization**: 0.0000 μB per atom
**Density of states at the Fermi level**: 3.41 states/eV/f.u.
**SG**: P4/mmm

Unit cell a=3.773 b=3.773 c=3.528 alpha=90.00 beta=90.00 gamma=90.00
Fractional coordinates of all 4 atoms:
Cu 0.500 0.000 0.500
Re 0.000 0.500 0.500
Cr 0.500 0.500 0.000
Cr 0.000 0.000 0.000

---

Entry B
Compound: Cr2CuRe
Source: Alexandria
Functional: PBE-GGA
Structure: relaxed

**Magnetization**: 0.0405 μB per atom
**Density of states at the Fermi level**: 3.78 states/eV/f.u.
**SG**: I-4m2

Unit cell a=4.502 b=4.502 c=4.502 alpha=131.25 beta=131.25 gamma=71.41
Fractional coordinates of all 4 atoms:
Re 0.750 0.250 0.500
Cr 0.250 0.750 0.500
Cu 0.500 0.500 0.000
Cr 0.000 0.000 0.000

---

Stability summary - winner: entry A; margin: 49 meV/atom.